The following is a DFT calculation (PBE-GGA) of CaTm3Hg4 after structural relaxation.

Cell lengths 5.2117, 7.4168, 10.4253 Å; angles 90.00, 90.00, 90.00 degrees
Closest atoms and distances in Å follow each position.
Element x y z (fractional)
Ca 0.0000 0.5000 0.5000  8 Hg 3.23
Hg 0.5000 0.7570 0.0000  6 Tm 3.17-3.23, 2 Ca 3.23
Tm 0.5005 0.5000 0.7500  8 Hg 3.23
Ca 0.0000 0.5000 0.0000  8 Hg 3.23
Tm 0.4995 0.0000 0.2500  8 Hg 3.17
Tm 0.0000 0.0000 0.5000  8 Hg 3.17
Hg 0.5000 0.7570 0.5000  6 Tm 3.17-3.23, 2 Ca 3.23
Hg 0.5000 0.2430 0.0000  6 Tm 3.17-3.23, 2 Ca 3.23
Hg 0.0006 0.2430 0.7500  6 Tm 3.17-3.23, 2 Ca 3.23
Hg 0.5000 0.2430 0.5000  6 Tm 3.17-3.23, 2 Ca 3.23
Tm 0.4995 0.5000 0.2500  8 Hg 3.23
Tm 0.5005 0.0000 0.7500  8 Hg 3.17
Tm 0.0000 0.0000 0.0000  8 Hg 3.17
Hg 0.9994 0.2430 0.2500  6 Tm 3.17-3.23, 2 Ca 3.23
Hg 0.0006 0.7570 0.7500  6 Tm 3.17-3.23, 2 Ca 3.23
Hg 0.9994 0.7570 0.2500  6 Tm 3.17-3.23, 2 Ca 3.23

For the energy relative to the elements, the calculation gives -503 meV/atom. As for the total energy: -2.58 eV/atom. Its volume is 25.2 A^3/atom.

=====

The following is a DFT calculation (PBE-GGA) of YSiHg after structural relaxation.

Cell lengths 6.2032, 6.2032, 6.2032 Å; angles 147.89, 147.89, 46.04 degrees
Closest atoms and distances in Å follow each position.
Element x y z (fractional)
Y 0.6771 0.6771 0.0000  4 Si 3.02, 4 Hg 3.25
Hg 0.9876 0.9876 0.0000  4 Si 2.99, 4 Y 3.25
Si 0.3353 0.3353 0.0000  4 Hg 2.99, 4 Y 3.02

The energy above the most stable polymorph in this dataset comes out at 383 meV/atom. As for the total energy: -4.22 eV/atom. Its volume is 22.4 A^3/atom.

=====

The following is a DFT calculation (PBE-GGA) of ZnTeRhI2 after structural relaxation.

Cell lengths 5.4964, 5.4964, 5.3095 Å; angles 90.00, 90.00, 90.00 degrees
Closest atoms and distances in Å follow each position.
Element x y z (fractional)
I 0.5000 0.0000 0.0000  2 Zn 2.75
Rh 0.5000 0.5000 0.5000  8 I 3.82, 4 Te 3.89
Te 0.0000 0.0000 0.5000  2 Zn 2.65
Zn 0.0000 0.0000 0.0000  2 Te 2.65, 4 I 2.75
I 0.0000 0.5000 0.0000  2 Zn 2.75

The energy above the most stable polymorph in this dataset comes out at 532 meV/atom. As for the total energy: -2.16 eV/atom. Its volume is 32.1 A^3/atom.

=====

The following is a DFT calculation (PBE-GGA) of YZnGeH after structural relaxation.

Cell lengths 4.0420, 4.0420, 7.5222 Å; angles 90.00, 90.00, 90.00 degrees
Closest atoms and distances in Å follow each position.
Element x y z (fractional)
Y 0.5000 0.0000 0.6528  4 H 2.32
Zn 0.5000 0.5000 0.0000  4 Ge 2.60, 4 Zn 2.86
Ge 0.5000 0.0000 0.2173  4 Zn 2.60
H 0.5000 0.5000 0.5000  4 Y 2.32
Ge 0.0000 0.5000 0.7827  4 Zn 2.60
Y 0.0000 0.5000 0.3472  4 H 2.32
Zn 0.0000 0.0000 0.0000  4 Ge 2.60, 4 Zn 2.86
H 0.0000 0.0000 0.5000  4 Y 2.32

As for the total energy: -4.49 eV/atom. Its volume is 15.4 A^3/atom.

=====

Copy entry 2 word for word.
The following is a DFT calculation (PBE-GGA) of YSiHg after structural relaxation.

Cell lengths 6.2032, 6.2032, 6.2032 Å; angles 147.89, 147.89, 46.04 degrees
Closest atoms and distances in Å follow each position.
Element x y z (fractional)
Y 0.6771 0.6771 0.0000  4 Si 3.02, 4 Hg 3.25
Hg 0.9876 0.9876 0.0000  4 Si 2.99, 4 Y 3.25
Si 0.3353 0.3353 0.0000  4 Hg 2.99, 4 Y 3.02

The energy above the most stable polymorph in this dataset comes out at 383 meV/atom. As for the total energy: -4.22 eV/atom. Its volume is 22.4 A^3/atom.